Record 1
Entry from the Alexandria database: an optimized crystal structure of Dy5Tm2Th2 (PBE). Values from VASP.

Calculated values
Total DFT energy (no corrections)   -4.949 eV/atom
Offset from the most stable computed form   0 meV/atom
Space-group type   Ima2
Energy of formation   250 meV per atom

Quantum ESPRESSO input file:
```
&SYSTEM
  ibrav = 0, nat = 18, ntyp = 3
/
ATOMIC_SPECIES
Tm 168.93 Tm.upf
Dy 162.50 Dy.upf
Th 232.04 Th.upf
CELL_PARAMETERS angstrom
-10.627 -1.856 4.853
2.042 -5.863 2.228
6.592 7.036 2.711
ATOMIC_POSITIONS crystal
Tm 0.378 0.926 0.750
Tm 0.622 0.175 0.250
Tm 0.872 0.426 0.750
Tm 0.128 0.675 0.250
Dy 0.810 0.267 0.107
Dy 0.021 0.655 0.500
Dy 0.632 0.760 0.714
Dy 0.583 0.260 0.714
Dy 0.368 0.046 0.286
Dy 0.979 0.155 0.500
Dy 0.190 0.160 0.893
Dy 0.417 0.546 0.286
Dy 0.797 0.767 0.107
Dy 0.203 0.660 0.893
Th 0.751 0.829 0.500
Th 0.500 0.518 0.000
Th 0.000 0.018 0.000
Th 0.249 0.329 0.500
```

---

Record 2
Entry from the Alexandria database: an optimized crystal structure of SmTmLu2 (PBE). Values from VASP.

Calculated values
Total DFT energy (no corrections)   -4.452 eV/atom
Offset from the most stable computed form   74 meV/atom
Space-group type   P4/mmm
Energy of formation   106 meV per atom

Quantum ESPRESSO input file:
```
&SYSTEM
  ibrav = 0, nat = 4, ntyp = 3
/
ATOMIC_SPECIES
Lu 174.97 Lu.upf
Tm 168.93 Tm.upf
Sm 150.36 Sm.upf
CELL_PARAMETERS angstrom
-0.197 -3.399 2.065
-1.987 -1.707 -2.999
6.771 -2.317 -3.167
ATOMIC_POSITIONS crystal
Lu 0.000 0.000 0.238
Lu 0.000 0.000 0.762
Tm 0.500 0.500 0.000
Sm 0.500 0.500 0.500
```

---

Record 3
Entry from the Alexandria database: an optimized crystal structure of ZrSc2In (PBE). Values from VASP.

Calculated values
Total DFT energy (no corrections)   -6.164 eV/atom
Space-group type   Imm2
Energy of formation   -176 meV per atom

Quantum ESPRESSO input file:
```
&SYSTEM
  ibrav = 0, nat = 4, ntyp = 3
/
ATOMIC_SPECIES
Sc 44.96 Sc.upf
Zr 91.22 Zr.upf
In 114.82 In.upf
CELL_PARAMETERS angstrom
-0.353 6.069 0.389
-3.529 2.542 4.266
4.704 -3.695 -1.153
ATOMIC_POSITIONS crystal
Sc 0.985 0.985 0.000
Sc 0.252 0.752 0.500
Zr 0.512 0.512 0.000
In 0.751 0.251 0.500
```

---

Q: What is the total DFT energy (no corrections) in the third record?
A: -6.164 eV/atom

---

Q: The lowest energy of formation belongs to which entry?
A: ZrSc2In

---

Q: Among the records above, which one has the lowest total DFT energy (no corrections)?
A: ZrSc2In